Record 1
The following is a DFT calculation (PBE-GGA) of a geometry-optimized DyTmCuRu structure.

Computed properties:
- Formation energy from the elements: -366 meV/atom
- Mass density: 10.4 Mg/m³
- N(E_F): 2.80 states/eV/f.u.
- V: 79.3 Å³ per cell
- E: -23.91 eV per cell
- Crystal system: cubic

Cell: 4.8223 4.8223 4.8223 Å, 60.00 60.00 60.00°
Atoms (fractional coordinates):
Dy1 0.0000 0.0000 0.0000
Tm1 0.5000 0.5000 0.5000
Cu1 0.7500 0.7500 0.7500
Ru1 0.2500 0.2500 0.2500

Record 2
The following is a DFT calculation (PBE-GGA) of a geometry-optimized Dy4ZnCu2Ru structure.

Computed properties:
- Formation energy from the elements: -330 meV/atom
- Mass density: 9.3 Mg/m³
- N(E_F): 5.25 states/eV/f.u.
- V: 168.4 Å³ per cell
- E: -39.79 eV per cell
- Crystal system: trigonal

Cell: 8.4876 8.4876 8.4876 Å, 33.77 33.77 33.77°
Atoms (fractional coordinates):
Dy1 0.1201 0.1201 0.1201
Dy2 0.3708 0.3708 0.3708
Dy3 0.6292 0.6292 0.6292
Dy4 0.8799 0.8799 0.8799
Zn1 0.5000 0.5000 0.5000
Cu1 0.2460 0.2460 0.2460
Cu2 0.7540 0.7540 0.7540
Ru1 0.0000 0.0000 0.0000

Record 3
The following is a DFT calculation (PBE-GGA) of a geometry-optimized DyZrCuRu structure.

Computed properties:
- Formation energy from the elements: -302 meV/atom
- Mass density: 9.2 Mg/m³
- N(E_F): 3.48 states/eV/f.u.
- V: 75.7 Å³ per cell
- E: -27.73 eV per cell
- Crystal system: cubic

Cell: 4.7474 4.7474 4.7474 Å, 60.00 60.00 60.00°
Atoms (fractional coordinates):
Dy1 0.0000 0.0000 0.0000
Zr1 0.5000 0.5000 0.5000
Cu1 0.7500 0.7500 0.7500
Ru1 0.2500 0.2500 0.2500

Record 4
The following is a DFT calculation (PBE-GGA) of a geometry-optimized Dy6CuS5 structure.

Computed properties:
- Mass density: 7.8 Mg/m³
- Uncorrected formation energy: -1709 meV/atom
- N(E_F): 4.58 states/eV/f.u.
- V: 256.8 Å³ per cell
- E: -72.85 eV per cell
- Crystal system: monoclinic

Cell: 6.8064 6.8064 6.7953 Å, 99.65 99.65 120.03°
Atoms (fractional coordinates):
Dy1 0.0818 0.4157 0.7484
Dy2 0.2494 0.2494 0.2498
Dy3 0.4157 0.0818 0.7484
Dy4 0.5843 0.9182 0.2516
Dy5 0.7506 0.7506 0.7502
Dy6 0.9182 0.5843 0.2516
Cu1 0.0000 0.0000 0.5000
S1 0.1695 0.8305 0.0000
S2 0.3345 0.6655 0.5000
S3 0.5000 0.5000 0.0000
S4 0.6655 0.3345 0.5000
S5 0.8305 0.1695 0.0000

Record 5
The following is a DFT calculation (PBE-GGA) of a geometry-optimized DyCu2S3 structure.

Computed properties:
- Mass density: 5.7 Mg/m³
- Uncorrected formation energy: -788 meV/atom
- N(E_F): 4.71 states/eV/f.u.
- V: 224.4 Å³ per cell
- E: -59.81 eV per cell
- Crystal system: orthorhombic

Cell: 7.1142 7.1142 4.7530 Å, 90.00 90.00 111.10°
Atoms (fractional coordinates):
Dy1 0.2384 0.7616 0.7500
Dy2 0.7616 0.2384 0.2500
Cu1 0.3029 0.3029 0.0000
Cu2 0.3029 0.3029 0.5000
Cu3 0.6971 0.6971 0.0000
Cu4 0.6971 0.6971 0.5000
S1 0.0455 0.3447 0.7500
S2 0.3447 0.0455 0.2500
S3 0.3855 0.6145 0.2500
S4 0.6145 0.3855 0.7500
S5 0.6553 0.9545 0.7500
S6 0.9545 0.6553 0.2500

Record 6
The following is a DFT calculation (PBE-GGA) of a geometry-optimized Dy4CuS3 structure.

Computed properties:
- Mass density: 7.8 Mg/m³
- Uncorrected formation energy: -1534 meV/atom
- N(E_F): 5.10 states/eV/f.u.
- V: 172.7 Å³ per cell
- E: -47.16 eV per cell
- Crystal system: orthorhombic

Cell: 6.8697 6.8697 3.8682 Å, 90.00 90.00 108.88°
Atoms (fractional coordinates):
Dy1 0.2493 0.7507 0.0000
Dy2 0.2508 0.2508 0.5000
Dy3 0.7492 0.7492 0.5000
Dy4 0.7507 0.2493 0.0000
Cu1 0.5000 0.5000 0.0000
S1 0.0000 0.0000 0.0000
S2 0.0000 0.5000 0.5000
S3 0.5000 0.0000 0.5000

Record 7
The following is a DFT calculation (PBE-GGA) of a geometry-optimized Dy2CuS4 structure.

Computed properties:
- Mass density: 6.2 Mg/m³
- Uncorrected formation energy: -1466 meV/atom
- N(E_F): 1.81 states/eV/f.u.
- V: 274.7 Å³ per cell
- E: -80.15 eV per cell
- Crystal system: monoclinic

Cell: 6.6618 5.5668 7.7388 Å, 90.00 106.85 90.00°
Atoms (fractional coordinates):
Dy1 0.2340 0.2500 0.4349
Dy2 0.2355 0.2500 0.9320
Dy3 0.7645 0.7500 0.0680
Dy4 0.7660 0.7500 0.5651
Cu1 0.2471 0.7500 0.1855
Cu2 0.7529 0.2500 0.8145
S1 0.0669 0.7500 0.8895
S2 0.0680 0.7500 0.3937
S3 0.4830 0.5125 0.7442
S4 0.4830 0.9875 0.7442
S5 0.5170 0.0125 0.2558
S6 0.5170 0.4875 0.2558
S7 0.9320 0.2500 0.6063
S8 0.9331 0.2500 0.1105

Record 8
The following is a DFT calculation (PBE-GGA) of a geometry-optimized DyCuS2 structure.

Computed properties:
- Mass density: 4.7 Mg/m³
- Uncorrected formation energy: -1313 meV/atom
- N(E_F): 0.00 states/eV/f.u.
- V: 103.1 Å³ per cell
- E: -22.21 eV per cell
- Crystal system: trigonal

Cell: 7.4519 7.4519 7.4519 Å, 31.97 31.97 31.97°
Atoms (fractional coordinates):
Dy1 0.0000 0.0000 0.0000
Cu1 0.5000 0.5000 0.5000
S1 0.3994 0.3994 0.3994
S2 0.6006 0.6006 0.6006

Record 9
The following is a DFT calculation (PBE-GGA) of a geometry-optimized DyCu5S4 structure.

Computed properties:
- Mass density: 6.1 Mg/m³
- Uncorrected formation energy: -558 meV/atom
- N(E_F): 1.06 states/eV/f.u.
- V: 166.7 Å³ per cell
- E: -47.17 eV per cell
- Crystal system: orthorhombic

Cell: 7.4083 7.4083 7.4083 Å, 150.01 124.05 64.78°
Atoms (fractional coordinates):
Dy1 0.0000 0.0000 0.0000
Cu1 0.0199 0.3196 0.7003
Cu2 0.3807 0.6804 0.7003
Cu3 0.5000 0.0000 0.5000
Cu4 0.6193 0.3196 0.2997
Cu5 0.9801 0.6804 0.2997
S1 0.2246 0.2246 0.0000
S2 0.2792 0.5000 0.7792
S3 0.7208 0.5000 0.2208
S4 0.7754 0.7754 0.0000

Record 10
The following is a DFT calculation (PBE-GGA) of a geometry-optimized DyCuS2 structure.

Computed properties:
- Mass density: 5.8 Mg/m³
- Uncorrected formation energy: -1379 meV/atom
- N(E_F): 0.00 states/eV/f.u.
- V: 334.0 Å³ per cell
- E: -89.87 eV per cell
- Crystal system: orthorhombic

Cell: 13.4712 3.9601 6.2604 Å, 90.00 90.00 90.00°
Atoms (fractional coordinates):
Dy1 0.1333 0.2500 0.0006
Dy2 0.3667 0.7500 0.5006
Dy3 0.6333 0.2500 0.4994
Dy4 0.8667 0.7500 0.9994
Cu1 0.0442 0.7500 0.3721
Cu2 0.4558 0.2500 0.8721
Cu3 0.5442 0.7500 0.1279
Cu4 0.9558 0.2500 0.6279
S1 0.0396 0.7500 0.7525
S2 0.2039 0.7500 0.2411
S3 0.2961 0.2500 0.7411
S4 0.4604 0.2500 0.2525
S5 0.5396 0.7500 0.7475
S6 0.7039 0.7500 0.2589
S7 0.7961 0.2500 0.7589
S8 0.9604 0.2500 0.2475

Record 11
The following is a DFT calculation (PBE-GGA) of a geometry-optimized Dy7CuS5 structure.

Computed properties:
- Mass density: 7.8 Mg/m³
- Uncorrected formation energy: -1580 meV/atom
- N(E_F): 7.53 states/eV/f.u.
- V: 582.9 Å³ per cell
- E: -154.97 eV per cell
- Crystal system: monoclinic

Cell: 3.8790 23.4363 6.6954 Å, 90.00 106.73 90.00°
Atoms (fractional coordinates):
Dy1 0.0377 0.2500 0.0730
Dy2 0.1366 0.5369 0.2745
Dy3 0.1366 0.9631 0.2745
Dy4 0.3125 0.1767 0.6238
Dy5 0.3125 0.3233 0.6238
Dy6 0.4109 0.6089 0.8230
Dy7 0.4109 0.8911 0.8230
Dy8 0.5891 0.1089 0.1770
Dy9 0.5891 0.3911 0.1770
Dy10 0.6875 0.6767 0.3762
Dy11 0.6875 0.8233 0.3762
Dy12 0.8634 0.0369 0.7255
Dy13 0.8634 0.4631 0.7255
Dy14 0.9623 0.7500 0.9270
Cu1 0.2970 0.7500 0.5963
Cu2 0.7030 0.2500 0.4037
S1 0.0482 0.6421 0.0977
S2 0.0482 0.8579 0.0977
S3 0.2256 0.0706 0.4497
S4 0.2256 0.4294 0.4497
S5 0.5000 0.0000 0.0000
S6 0.5000 0.5000 0.0000
S7 0.7744 0.5706 0.5503
S8 0.7744 0.9294 0.5503
S9 0.9518 0.1421 0.9023
S10 0.9518 0.3579 0.9023

Record 12
The following is a DFT calculation (PBE-GGA) of a geometry-optimized Dy2CuS structure.

Computed properties:
- Mass density: 8.1 Mg/m³
- Uncorrected formation energy: -1142 meV/atom
- N(E_F): 1.91 states/eV/f.u.
- V: 172.6 Å³ per cell
- E: -44.00 eV per cell
- Crystal system: orthorhombic

Cell: 11.4200 11.4200 3.9293 Å, 90.00 90.00 160.32°
Atoms (fractional coordinates):
Dy1 0.0700 0.9300 0.7500
Dy2 0.3138 0.6862 0.7500
Dy3 0.6862 0.3138 0.2500
Dy4 0.9300 0.0700 0.2500
Cu1 0.4622 0.5378 0.7500
Cu2 0.5378 0.4622 0.2500
S1 0.1926 0.8074 0.7500
S2 0.8074 0.1926 0.2500

Record 13
The following is a DFT calculation (PBE-GGA) of a geometry-optimized Dy2CuS3 structure.

Computed properties:
- Mass density: 6.7 Mg/m³
- Uncorrected formation energy: -1524 meV/atom
- N(E_F): 1.48 states/eV/f.u.
- V: 119.5 Å³ per cell
- E: -34.83 eV per cell
- Crystal system: orthorhombic

Cell: 8.1889 8.1889 8.1889 Å, 154.16 149.99 40.01°
Atoms (fractional coordinates):
Dy1 0.1403 0.1403 0.0000
Dy2 0.8597 0.8597 0.0000
Cu1 0.5000 0.5000 0.0000
S1 0.0000 0.5000 0.5000
S2 0.3221 0.3221 0.0000
S3 0.6779 0.6779 0.0000

Record 14
The following is a DFT calculation (PBE-GGA) of a geometry-optimized Dy2CuS structure.

Computed properties:
- Mass density: 7.7 Mg/m³
- Uncorrected formation energy: -939 meV/atom
- N(E_F): 2.86 states/eV/f.u.
- V: 90.6 Å³ per cell
- E: -21.18 eV per cell
- Crystal system: trigonal

Cell: 7.5051 7.5051 7.5051 Å, 29.48 29.48 29.48°
Atoms (fractional coordinates):
Dy1 0.0000 0.0000 0.0000
Dy2 0.1696 0.1696 0.1696
Cu1 0.5856 0.5856 0.5856
S1 0.4167 0.4167 0.4167

Record 15
The following is a DFT calculation (PBE-GGA) of a geometry-optimized DyCu3S3 structure.

Computed properties:
- Mass density: 6.0 Mg/m³
- Uncorrected formation energy: -859 meV/atom
- V: 247.3 Å³ per cell
- E: -70.57 eV per cell
- Crystal system: trigonal

Cell: 7.4492 7.4492 7.4492 Å, 53.43 53.43 53.43°
Atoms (fractional coordinates):
Dy1 0.1664 0.1664 0.1664
Dy2 0.8336 0.8336 0.8336
Cu1 0.0359 0.3771 0.7181
Cu2 0.2819 0.9641 0.6229
Cu3 0.3771 0.7181 0.0359
Cu4 0.6229 0.2819 0.9641
Cu5 0.7181 0.0359 0.3771
Cu6 0.9641 0.6229 0.2819
S1 0.0842 0.7475 0.4173
S2 0.2525 0.5827 0.9158
S3 0.4173 0.0842 0.7475
S4 0.5827 0.9158 0.2525
S5 0.7475 0.4173 0.0842
S6 0.9158 0.2525 0.5827

Record 16
The following is a DFT calculation (PBE-GGA) of a geometry-optimized DyCuS2 structure.

Computed properties:
- Mass density: 5.5 Mg/m³
- Uncorrected formation energy: -1176 meV/atom
- V: 87.4 Å³ per cell
- E: -21.66 eV per cell
- Crystal system: trigonal

Cell: 7.0843 7.0843 7.0843 Å, 31.74 31.74 31.74°
Atoms (fractional coordinates):
Dy1 0.0000 0.0000 0.0000
Cu1 0.2208 0.2208 0.2208
S1 0.5676 0.5676 0.5676
S2 0.7375 0.7375 0.7375

Record 17
The following is a DFT calculation (PBE-GGA) of a geometry-optimized Dy5CuS4 structure.

Computed properties:
- Mass density: 7.8 Mg/m³
- Uncorrected formation energy: -1634 meV/atom
- N(E_F): 5.09 states/eV/f.u.
- V: 215.1 Å³ per cell
- E: -59.95 eV per cell
- Crystal system: monoclinic

Cell: 6.8753 6.8753 9.7039 Å, 118.70 118.70 32.80°
Atoms (fractional coordinates):
Dy1 0.0000 0.0000 0.0000
Dy2 0.1979 0.1979 0.7979
Dy3 0.3989 0.3989 0.6013
Dy4 0.6011 0.6011 0.3987
Dy5 0.8021 0.8021 0.2021
Cu1 0.0000 0.0000 0.5000
S1 0.1993 0.1993 0.2974
S2 0.3978 0.3978 0.0939
S3 0.6022 0.6022 0.9061
S4 0.8007 0.8007 0.7026

Record 18
The following is a DFT calculation (PBE-GGA) of a geometry-optimized DyCuSb2S5 structure.

Computed properties:
- Mass density: 4.6 Mg/m³
- Uncorrected formation energy: -736 meV/atom
- V: 452.5 Å³ per cell
- E: -88.41 eV per cell
- Crystal system: orthorhombic

Cell: 9.9241 9.9241 11.9620 Å, 90.00 90.00 157.41°
Atoms (fractional coordinates):
Dy1 0.1997 0.8003 0.5000
Dy2 0.8003 0.1997 0.0000
Cu1 0.4272 0.5728 0.9445
Cu2 0.5728 0.4272 0.4445
Sb1 0.0780 0.9220 0.7544
Sb2 0.1608 0.8392 0.1617
Sb3 0.8392 0.1608 0.6617
Sb4 0.9220 0.0780 0.2544
S1 0.0591 0.9409 0.5484
S2 0.2888 0.7112 0.1626
S3 0.3215 0.6785 0.8493
S4 0.3412 0.6588 0.5140
S5 0.4926 0.5074 0.7822
S6 0.5074 0.4926 0.2822
S7 0.6588 0.3412 0.0140
S8 0.6785 0.3215 0.3493
S9 0.7112 0.2888 0.6626
S10 0.9409 0.0591 0.0484

Record 19
The following is a DFT calculation (PBE-GGA) of a geometry-optimized Dy2ScCuS5 structure.

Computed properties:
- Mass density: 5.7 Mg/m³
- Uncorrected formation energy: -1698 meV/atom
- N(E_F): 0.10 states/eV/f.u.
- V: 347.0 Å³ per cell
- E: -111.11 eV per cell
- Crystal system: orthorhombic

Cell: 8.3426 8.3426 11.3191 Å, 90.00 90.00 153.86°
Atoms (fractional coordinates):
Dy1 0.1089 0.8911 0.5000
Dy2 0.1258 0.8742 0.1216
Dy3 0.8742 0.1258 0.6216
Dy4 0.8911 0.1089 0.0000
Sc1 0.1939 0.8061 0.8255
Sc2 0.8061 0.1939 0.3255
Cu1 0.4379 0.5621 0.2681
Cu2 0.5621 0.4379 0.7681
S1 0.0463 0.9537 0.8774
S2 0.2865 0.7135 0.4828
S3 0.3098 0.6902 0.1650
S4 0.3550 0.6450 0.8158
S5 0.4973 0.5027 0.5924
S6 0.5027 0.4973 0.0924
S7 0.6450 0.3550 0.3158
S8 0.6902 0.3098 0.6650
S9 0.7135 0.2865 0.9828
S10 0.9537 0.0463 0.3774

Record 20
The following is a DFT calculation (PBE-GGA) of a geometry-optimized Dy8CuSe4S3 structure.

Computed properties:
- Mass density: 8.1 Mg/m³
- Uncorrected formation energy: -1668 meV/atom
- N(E_F): 6.56 states/eV/f.u.
- V: 365.3 Å³ per cell
- E: -93.92 eV per cell
- Crystal system: trigonal

Cell: 8.0724 8.0724 8.0724 Å, 59.21 59.21 59.21°
Atoms (fractional coordinates):
Dy1 0.2424 0.2424 0.2424
Dy2 0.2465 0.7427 0.7427
Dy3 0.2573 0.2573 0.7535
Dy4 0.2573 0.7535 0.2573
Dy5 0.7427 0.2465 0.7427
Dy6 0.7427 0.7427 0.2465
Dy7 0.7535 0.2573 0.2573
Dy8 0.7576 0.7576 0.7576
Cu1 0.5000 0.5000 0.5000
Se1 0.0000 0.0000 0.0000
Se2 0.0000 0.5000 0.5000
Se3 0.5000 0.0000 0.5000
Se4 0.5000 0.5000 0.0000
S1 0.0000 0.0000 0.5000
S2 0.0000 0.5000 0.0000
S3 0.5000 0.0000 0.0000

Record 21
The following is a DFT calculation (PBE-GGA) of a geometry-optimized Dy6CuSe3S2 structure.

Computed properties:
- Mass density: 8.1 Mg/m³
- Uncorrected formation energy: -1602 meV/atom
- N(E_F): 4.71 states/eV/f.u.
- V: 275.5 Å³ per cell
- E: -69.64 eV per cell
- Crystal system: monoclinic

Cell: 6.9363 6.9363 7.0047 Å, 99.54 99.54 119.97°
Atoms (fractional coordinates):
Dy1 0.0770 0.4078 0.2334
Dy2 0.2524 0.2524 0.7655
Dy3 0.4078 0.0770 0.2334
Dy4 0.5922 0.9230 0.7666
Dy5 0.7476 0.7476 0.2345
Dy6 0.9230 0.5922 0.7666
Cu1 0.0000 0.0000 0.0000
Se1 0.1699 0.8301 0.5000
Se2 0.5000 0.5000 0.5000
Se3 0.8301 0.1699 0.5000
S1 0.3344 0.6656 0.0000
S2 0.6656 0.3344 0.0000